Here is crystalline CsErGaTe4 at its relaxed geometry from Alexandria. Energies are from GGA-PBE.

Values from the calculation:
* density of states at the Fermi level: 0.259 states/eV/atom
* energy relative to the elements, uncorrected: -0.852 eV per atom

Lattice parameters (Å, degrees): 7.6423 6.6130 10.7593 90.00 106.33 90.00
With the nearest neighbours (Å) after each atom.
Space group P2_1/m (No. 11)
One atom of each set of equivalent atoms:
Cs: 0.2318 0.2500 0.0509  8 Te 3.82-4.10
Er: 0.2548 0.2500 0.5502  6 Te 3.10-3.27
Ga: 0.2620 0.7500 0.3365  4 Te 2.57-2.69
Te: 0.0173 0.5110 0.6951  1 Ga 2.69
Te: 0.4319 0.7500 0.5829  1 Ga 2.60
Te: 0.4609 0.7500 0.1800  1 Ga 2.57

=====

Here is crystalline AgRu3 at its relaxed geometry from Alexandria. Energies are from GGA-PBE.

Values from the calculation:
* density of states at the Fermi level: 1.184 states/eV/atom
* E_form: 0.724 eV per atom

Lattice parameters (Å, degrees): 6.2273 6.2273 6.2273 90.00 90.00 90.00
With the nearest neighbours (Å) after each atom.
Space group Fm-3m (No. 225)
One atom of each set of equivalent atoms:
Ag: 0.0000 0.0000 0.0000  8 Ru 2.70
Ru: 0.0000 0.0000 0.5000  8 Ru 2.70
Ru: 0.2500 0.2500 0.2500  4 Ru 2.70, 4 Ag 2.70

=====

Here is crystalline KSrBeCl5 at its relaxed geometry from Alexandria. Energies are from GGA-PBE.

Values from the calculation:
* density of states at the Fermi level: 0.000 states/eV/atom
* energy relative to the elements, uncorrected: -1.945 eV per atom

Lattice parameters (Å, degrees): 8.9548 11.7811 10.0932 90.00 113.13 90.00
With the nearest neighbours (Å) after each atom.
Space group C2/c (No. 15)
One atom of each set of equivalent atoms:
K: 0.0000 0.1423 0.2500  5 Cl 3.00-3.26
Sr: 0.0000 0.5000 0.0000  6 Cl 2.80-3.00
Be: 0.0000 0.1859 0.7500  4 Cl 2.05-2.06
Cl: 0.0000 0.3970 0.2500  2 Sr 2.80, 1 K 3.00
Cl: 0.1207 0.2854 0.6573  1 Be 2.05
Cl: 0.1581 0.0837 0.9087  1 Be 2.06